(1)
Entry from Alexandria: crystalline Tc2AgBr at its relaxed geometry (GGA-PBE).

Summary:
M_tot, μB/cell: 0.00
Energy above the lowest structure with this stoichiometry, kJ per mole of atoms: 9.4
N(E_F), states/eV per atom: 0.96

The structure in POSCAR format:
```
Tc2AgBr
1.0
-5.143 4.643 6.480
-3.376 3.149 8.287
-2.492 5.709 7.155
Tc Br Ag
2 1 1
direct
0.259 0.259 0.259
0.996 0.996 0.996
0.739 0.739 0.739
0.506 0.506 0.506
```


(2)
Entry from Alexandria: crystalline TcAg3Br7 at its relaxed geometry (GGA-PBE).

Summary:
M_tot, μB/cell: 2.94
Energy, eV per cell: -34.09

The structure in POSCAR format:
```
TcAg3Br7
1.0
-3.286 6.373 -1.347
-7.080 -1.166 1.321
0.254 2.262 6.754
Br Ag Tc
7 3 1
direct
0.107 0.107 0.313
0.426 0.426 0.631
0.921 0.307 0.865
0.651 0.059 0.197
0.851 0.851 0.761
0.307 0.921 0.865
0.059 0.651 0.197
0.214 0.761 0.514
0.602 0.602 0.857
0.761 0.214 0.514
0.976 0.976 0.037
```


(3)
Entry from Alexandria: crystalline Tc2AgBr8 at its relaxed geometry (GGA-PBE).

Summary:
M_tot, μB/cell: 3.00
Energy above the lowest structure with this stoichiometry, kJ per mole of atoms: 0.0
N(E_F), states/eV per atom: 0.28

The structure in POSCAR format:
```
Tc2AgBr8
1.0
6.820 -0.164 0.001
-0.176 6.055 -4.346
0.017 -0.013 8.661
Ag Br Tc
1 8 2
direct
0.000 0.000 0.000
0.236 0.176 0.311
0.239 0.169 0.861
0.249 0.566 0.786
0.764 0.824 0.689
0.205 0.757 0.375
0.751 0.434 0.214
0.761 0.831 0.139
0.795 0.243 0.625
0.146 0.161 0.581
0.854 0.839 0.419
```


(4)
Entry from Alexandria: crystalline TcAgBr at its relaxed geometry (GGA-PBE).

Summary:
M_tot, μB/cell: 1.03
Energy above the lowest structure with this stoichiometry, kJ per mole of atoms: 39.7
N(E_F), states/eV per atom: 0.97

The structure in POSCAR format:
```
TcAgBr
1.0
4.439 0.000 0.000
2.219 3.844 0.000
2.219 1.281 3.624
Br Tc Ag
1 1 1
direct
0.500 0.500 0.500
0.750 0.750 0.750
0.000 0.000 0.000
```


(5)
Entry from Alexandria: crystalline Tc2AgBr at its relaxed geometry (GGA-PBE).

Summary:
M_tot, μB/cell: 0.00
Energy above the lowest structure with this stoichiometry, kJ per mole of atoms: 60.5
N(E_F), states/eV per atom: 1.12

The structure in POSCAR format:
```
Tc2AgBr
1.0
4.525 -0.012 0.007
3.580 2.767 0.007
0.875 0.297 5.302
Tc Ag Br
2 1 1
direct
0.502 0.502 0.467
0.998 0.998 0.033
0.750 0.750 0.750
0.250 0.250 0.250
```


(6)
Entry from Alexandria: crystalline Tc2AgBr at its relaxed geometry (GGA-PBE).

Summary:
M_tot, μB/cell: 0.00
Energy above the lowest structure with this stoichiometry, kJ per mole of atoms: 82.7
N(E_F), states/eV per atom: 1.52

The structure in POSCAR format:
```
Tc2AgBr
1.0
3.956 1.243 1.745
0.316 0.995 4.376
2.200 -2.767 2.783
Tc Ag Br
2 1 1
direct
0.750 0.750 0.750
0.250 0.250 0.250
0.500 0.500 0.500
0.000 0.000 0.000
```


(7)
Entry from Alexandria: crystalline Tc4AgBr at its relaxed geometry (GGA-PBE).

Summary:
M_tot, μB/cell: 0.00
N(E_F), states/eV per atom: 0.92
Energy, eV per cell: -40.29

The structure in POSCAR format:
```
Tc4AgBr
1.0
-4.594 -1.977 1.562
-3.570 3.117 2.235
-4.393 1.223 -2.581
Tc Br Ag
4 1 1
direct
0.374 0.374 0.374
0.374 0.374 0.878
0.878 0.374 0.374
0.374 0.878 0.374
0.000 0.000 0.000
0.750 0.750 0.750
```


(8)
Entry from Alexandria: crystalline TcAgBr3 at its relaxed geometry (GGA-PBE).

Summary:
M_tot, μB/cell: 3.01
Energy above the lowest structure with this stoichiometry, kJ per mole of atoms: 0.0
N(E_F), states/eV per atom: 0.78

The structure in POSCAR format:
```
TcAgBr3
1.0
5.189 0.000 0.000
0.000 5.189 0.000
0.000 0.000 5.189
Br Ag Tc
3 1 1
direct
0.000 0.000 0.500
0.500 0.000 0.000
0.000 0.500 0.000
0.500 0.500 0.500
0.000 0.000 0.000
```